{"formula": "SrFeCoTe3", "functional": "PBE-GGA", "state": "relaxed", "lattice": [[2.033, -6.991, 0.000], [2.033, 6.991, 0.000], [0.000, 0.000, 10.237]], "species": ["Sr", "Sr", "Fe", "Fe", "Co", "Co", "Te", "Te", "Te", "Te", "Te", "Te"], "frac_coords": [[0.235, 0.765, 0.750], [0.765, 0.235, 0.250], [0.000, 0.000, 0.000], [0.000, 0.000, 0.500], [0.464, 0.536, 0.250], [0.536, 0.464, 0.750], [0.067, 0.933, 0.250], [0.373, 0.627, 0.037], [0.373, 0.627, 0.463], [0.627, 0.373, 0.537], [0.627, 0.373, 0.963], [0.933, 0.067, 0.750]], "de_polymorph_ev_per_atom": 0.000, "spacegroup": "Cmcm (63)"}